Entry 1:
# Zn6CuAg3 PBE relaxed
data_Zn6CuAg3
_chemical_formula_sum 'Zn24 Cu4 Ag12'
_cell_length_a 8.5272
_cell_length_b 9.7187
_cell_length_c 10.1568
_cell_angle_alpha 90.00
_cell_angle_beta 90.00
_cell_angle_gamma 90.00
_space_group_name_H-M_alt 'F m m m'
_space_group_IT_number 69
_space_group_name_Hall '-F 2 2'
loop_
_atom_site_label
_atom_site_fract_x
_atom_site_fract_y
_atom_site_fract_z
_atom_site_occupancy
Zn1 0.0000 0.2414 0.0000 1
Zn2 0.2353 0.0000 0.1294 1
Cu1 0.0000 0.0000 0.0000 1
Ag1 0.0000 0.0000 0.5000 1
Ag2 0.2500 0.2500 0.2500 1
# Polymorph energy (0 for the lowest one) = 324 kJ/mol of formula units
# Formation energy from the elements = 305 meV/atom
# Total magnetization = 0.000 μB/f.u.



Entry 2:
# Pm3PrY2Se6 PBE relaxed
data_Pm3PrY2Se6
_chemical_formula_sum 'Pm6 Pr2 Y4 Se12'
_cell_length_a 7.2054
_cell_length_b 12.5337
_cell_length_c 7.2335
_cell_angle_alpha 90.00
_cell_angle_beta 109.45
_cell_angle_gamma 90.00
_space_group_name_H-M_alt 'C 1 2/m 1'
_space_group_IT_number 12
_space_group_name_Hall '-C 2y'
loop_
_atom_site_label
_atom_site_fract_x
_atom_site_fract_y
_atom_site_fract_z
_atom_site_occupancy
Pm1 0.0000 0.0000 0.0000 1
Pm2 0.0000 0.3400 0.0000 1
Pr1 0.0000 0.5000 0.5000 1
Y1 0.0000 0.1659 0.5000 1
Se1 0.2368 0.0000 0.7414 1
Se2 0.2460 0.1721 0.2531 1
# Uncorrected formation energy = -1.82 eV/atom
# Total magnetization = 0.000 μB/f.u.



Entry 3:
# Sm2BeGa4Pd3 PBE relaxed
data_Sm2BeGa4Pd3
_chemical_formula_sum 'Sm2 Be1 Ga4 Pd3'
_cell_length_a 4.1770
_cell_length_b 4.1770
_cell_length_c 10.6787
_cell_angle_alpha 90.00
_cell_angle_beta 90.00
_cell_angle_gamma 90.00
_space_group_name_H-M_alt 'P -4 m 2'
_space_group_IT_number 115
_space_group_name_Hall 'P -4 -2'
loop_
_atom_site_label
_atom_site_fract_x
_atom_site_fract_y
_atom_site_fract_z
_atom_site_occupancy
Sm1 0.0000 0.5000 0.2435 1
Be1 0.5000 0.5000 0.0000 1
Ga1 0.0000 0.0000 0.5000 1
Ga2 0.0000 0.5000 0.8738 1
Ga3 0.5000 0.5000 0.5000 1
Pd1 0.0000 0.0000 0.0000 1
Pd2 0.0000 0.5000 0.6383 1
# Formation energy from the elements = -665 meV/atom
# Total magnetization = 0.000 μB/f.u.



Entry 4:
# Tc3Hg PBE relaxed
data_Tc3Hg
_chemical_formula_sum 'Tc6 Hg2'
_cell_length_a 3.9298
_cell_length_b 3.9298
_cell_length_c 8.1774
_cell_angle_alpha 90.00
_cell_angle_beta 90.00
_cell_angle_gamma 90.00
_space_group_name_H-M_alt 'I 4/m m m'
_space_group_IT_number 139
_space_group_name_Hall '-I 4 2'
loop_
_atom_site_label
_atom_site_fract_x
_atom_site_fract_y
_atom_site_fract_z
_atom_site_occupancy
Tc1 0.0000 0.0000 0.0000 1
Tc2 0.0000 0.5000 0.2500 1
Hg1 0.0000 0.0000 0.5000 1
# Polymorph energy (0 for the lowest one) = 94 kJ/mol of formula units
# Formation energy from the elements = 539 meV/atom
# Total magnetization = 0.001 μB/f.u.



Entry 5:
# Mn3Ga2Fe9 PBE relaxed
data_Mn3Ga2Fe9
_chemical_formula_sum 'Mn6 Ga4 Fe18'
_cell_length_a 3.9486
_cell_length_b 9.0953
_cell_length_c 9.4402
_cell_angle_alpha 90.00
_cell_angle_beta 90.00
_cell_angle_gamma 90.00
_space_group_name_H-M_alt 'I m m m'
_space_group_IT_number 71
_space_group_name_Hall '-I 2 2'
loop_
_atom_site_label
_atom_site_fract_x
_atom_site_fract_y
_atom_site_fract_z
_atom_site_occupancy
Mn1 0.0000 0.0000 0.0000 1
Mn2 0.0000 0.0000 0.2734 1
Ga1 0.0000 0.1555 0.5000 1
Fe1 0.0000 0.2690 0.1485 1
Fe2 0.0000 0.3811 0.3634 1
Fe3 0.0000 0.5000 0.0000 1
# Formation energy from the elements = 151 meV/atom
# Total magnetization = 14.685 μB/f.u.



Entry 6:
# CaZnGeAu3 PBE relaxed
data_CaZnGeAu3
_chemical_formula_sum 'Ca4 Zn4 Ge4 Au12'
_cell_length_a 6.8839
_cell_length_b 12.3504
_cell_length_c 6.0274
_cell_angle_alpha 90.00
_cell_angle_beta 90.00
_cell_angle_gamma 90.00
_space_group_name_H-M_alt 'C m c m'
_space_group_IT_number 63
_space_group_name_Hall '-C 2c 2'
loop_
_atom_site_label
_atom_site_fract_x
_atom_site_fract_y
_atom_site_fract_z
_atom_site_occupancy
Ca1 0.0000 0.2024 0.2500 1
Zn1 0.0000 0.4479 0.2500 1
Ge1 0.0000 0.1334 0.7500 1
Au1 0.0000 0.3367 0.7500 1
Au2 0.2102 0.0000 0.0000 1
# Formation energy from the elements = -293 meV/atom
# Total magnetization = 0.000 μB/f.u.